In3Cu5: optimized geometry, GGA-PBE.

- volume (Å³ per cell) = 273
- E (eV per cell) = -55.3
- DOS at the Fermi energy (states/eV/atom) = 0.2460
- space-group type = P6_3/mcm
- theoretical density (g/cm³) = 8.1
- energy of formation (meV/atom) = 128
- energy above the lowest structure with this stoichiometry (meV/atom) = 33
- spin magnetization (μB per formula unit) = 0.00

Structure (extended XYZ):
```
16
Lattice="8.115 0.000 0.000 -4.058 7.028 0.000 0.000 0.000 4.782" Properties=species:S:1:pos:R:3 pbc="T T T"
In -1.565 2.710 1.196
In -2.493 4.318 3.587
In 3.130 0.000 1.196
In 1.565 2.710 3.587
In 4.986 0.000 3.587
In 2.493 4.318 1.196
Cu -0.723 1.253 3.587
Cu -3.334 5.775 1.196
Cu 1.447 0.000 3.587
Cu 0.723 1.253 1.196
Cu 0.000 4.685 0.000
Cu 0.000 4.685 2.391
Cu 4.058 2.343 0.000
Cu 4.058 2.343 2.391
Cu 6.668 0.000 1.196
Cu 3.334 5.775 3.587
```

---

In2Cu: optimized geometry, GGA-PBE.

- volume (Å³ per cell) = 127
- E (eV per cell) = -18.9
- DOS at the Fermi energy (states/eV/atom) = 0.3898
- space-group type = P-1
- theoretical density (g/cm³) = 7.7
- energy of formation (meV/atom) = 40
- spin magnetization (μB per formula unit) = 0.00

Structure (extended XYZ):
```
6
Lattice="3.937 0.000 0.000 -1.755 4.937 0.000 -1.957 -0.960 6.522" Properties=species:S:1:pos:R:3 pbc="T T T"
In -0.887 0.904 2.790
In -0.810 3.891 0.855
In 1.035 0.086 5.666
In 1.112 3.073 3.732
Cu -0.850 2.160 5.425
Cu 1.075 1.817 1.096
```

---

In2Cu: optimized geometry, GGA-PBE.

- volume (Å³ per cell) = 132
- E (eV per cell) = -18.6
- DOS at the Fermi energy (states/eV/atom) = 0.3079
- space-group type = Cm
- theoretical density (g/cm³) = 7.4
- energy of formation (meV/atom) = 91
- spin magnetization (μB per formula unit) = 0.00

Structure (extended XYZ):
```
6
Lattice="6.639 -1.524 0.000 6.639 1.524 0.000 -0.315 0.000 6.541" Properties=species:S:1:pos:R:3 pbc="T T T"
In 0.000 0.000 0.000
In 6.675 0.000 3.694
In 8.940 0.000 1.563
In 9.921 0.000 4.601
Cu 4.275 0.000 0.301
Cu 11.543 0.000 2.256
```